DFT (PBE) results for K3U3SbTe8 after structural relaxation.

The structure in POSCAR format:
```
K3U3SbTe8
1.0
9.005 0.000 0.000
-4.503 7.799 -0.031
0.000 -5.167 8.350
Sb Te K U
1 8 3 3
Direct
0.000 0.000 0.500
0.266 0.030 0.293
0.236 0.970 0.707
0.236 0.473 0.707
0.263 0.526 0.290
0.764 0.527 0.293
0.734 0.970 0.707
0.764 0.030 0.293
0.737 0.474 0.710
0.500 0.500 0.000
0.000 0.000 0.000
0.000 0.500 0.000
0.500 0.500 0.500
0.500 0.000 0.500
0.000 0.500 0.500
```

## Properties
total magnetic moment	8.0	μB/cell
total energy	-5.158	eV/atom